CoBr2F | PBE with a Hubbard U | optimized geometry

- Volume: 17.24 Å³ per atom
- ΔE to the lowest computed polymorph: 0.280 eV/atom
- Energy: -43.39 eV/cell
- Fermi-level density of states: 13.9 states/eV per cell
- Crystal system: cubic

Geometry as CIF:
```
data_CoBr2F
_chemical_formula_sum 'Co4 Br8 F4'
_cell_length_a 6.5095
_cell_length_b 6.5095
_cell_length_c 6.5095
_cell_angle_alpha 90.00
_cell_angle_beta 90.00
_cell_angle_gamma 90.00
_space_group_name_H-M_alt 'F m -3 m'
_space_group_IT_number 225
_space_group_name_Hall '-F 4 2 3'
loop_
_atom_site_label
_atom_site_type_symbol
_atom_site_fract_x
_atom_site_fract_y
_atom_site_fract_z
Co1 Co 0.0000 0.0000 0.0000
Br1 Br 0.2500 0.2500 0.2500
F1 F 0.0000 0.0000 0.5000
```